VASP calculation (PBE) on a relaxed structure of PtF.

abc: 9.0846 9.0846 2.6684
angles: 90.00 90.00 120.00
Last column: nearest neighbours and their distance in Å.
Positions (direct):
Pt  0.1614  0.6467  0.2500  1 F 1.92
Pt  0.3533  0.5147  0.2500  1 F 1.92
Pt  0.4853  0.8386  0.2500  1 F 1.92
Pt  0.5147  0.1614  0.7500  1 F 1.92
Pt  0.6467  0.4853  0.7500  1 F 1.92
Pt  0.8386  0.3533  0.7500  1 F 1.92
F  0.0122  0.7396  0.2500  1 Pt 1.92
F  0.2604  0.2726  0.2500  1 Pt 1.92
F  0.2726  0.0122  0.7500  1 Pt 1.92
F  0.7274  0.9878  0.2500  1 Pt 1.92
F  0.7396  0.7274  0.7500  1 Pt 1.92
F  0.9878  0.2604  0.7500  1 Pt 1.92

Output
* E above lowest polymorph: 174.2 meV per atom
* total magnetic moment: 0.0 μB/f.u.
* density of states at the Fermi level: 1.88 states/eV/f.u.
* raw total energy: -4.35 eV per atom